! PBE-GGA Li2AgAu2, relaxed; values from VASP
&SYSTEM
  ibrav = 0, nat = 5, ntyp = 3
/
ATOMIC_SPECIES
Li 6.94 Li.upf
Ag 107.87 Ag.upf
Au 196.97 Au.upf
ATOMIC_POSITIONS angstrom
Li -0.463 0.000 1.296
Li 5.130 0.000 3.243
Ag 2.334 0.000 2.269
Au -1.093 0.000 4.014
Au 5.760 0.000 0.525
CELL_PARAMETERS angstrom
4.464 -2.033 0.000
4.464 2.033 0.000
-4.262 0.000 4.539
! ΔE_f (eV/atom): -0.39
! Excess energy over the best structure of this formula in the dataset (meV/atom): 0

***

! PBE-GGA KGeTeO6, relaxed; values from VASP
&SYSTEM
  ibrav = 0, nat = 18, ntyp = 4
/
ATOMIC_SPECIES
K 39.10 K.upf
Ge 72.64 Ge.upf
Te 127.60 Te.upf
O 16.00 O.upf
ATOMIC_POSITIONS angstrom
K 0.000 0.000 0.000
K 0.000 0.000 6.130
Ge 0.000 2.978 3.065
Ge 2.579 1.489 9.195
Te 0.000 2.978 9.195
Te 2.579 1.489 3.065
O -0.962 1.699 1.979
O -1.588 2.784 4.151
O 0.962 1.699 4.151
O -0.627 4.450 1.979
O 1.952 0.016 8.109
O 0.990 1.682 10.281
O 1.588 2.784 1.979
O 0.627 4.450 4.151
O 3.205 0.016 10.281
O 1.617 2.768 8.109
O 4.167 1.682 8.109
O 3.541 2.768 10.281
CELL_PARAMETERS angstrom
5.158 0.000 0.000
-2.579 4.467 0.000
0.000 0.000 12.261
! Uncorrected formation energy (eV/atom): -1.217

***

! PBE-GGA SmThAgPt, relaxed; values from VASP
&SYSTEM
  ibrav = 0, nat = 4, ntyp = 4
/
ATOMIC_SPECIES
Sm 150.36 Sm.upf
Th 232.04 Th.upf
Ag 107.87 Ag.upf
Pt 195.08 Pt.upf
ATOMIC_POSITIONS angstrom
Sm 0.000 0.000 0.000
Th 3.654 3.654 3.654
Ag 5.481 5.481 5.481
Pt 1.827 1.827 1.827
CELL_PARAMETERS angstrom
0.000 3.654 3.654
3.654 0.000 3.654
3.654 3.654 0.000
! ΔE_f (eV/atom): -0.59

***

| no. | E (eV/f.u.) |
| --- | --- |
| 1 | -15.2 |
| 2 | -49.6 |
| 3 | -23.4 |